Entry 1:
A geometry-optimized Dy5Zn2Pd structure. Source: Alexandria via LeMat-Bulk, functional PBE-GGA. Values from VASP.

```
&SYSTEM
  ibrav = 0, nat = 16, ntyp = 3
/
ATOMIC_SPECIES
Dy 162.50 Dy.upf
Zn 65.41 Zn.upf
Pd 106.42 Pd.upf
CELL_PARAMETERS angstrom
-2.485 -6.472 -2.015
6.694 -2.007 -1.811
-0.970 1.580 9.055
ATOMIC_POSITIONS angstrom
Dy 2.574 -3.612 4.025
Dy 4.236 -6.813 -0.676
Dy 0.000 0.000 0.000
Dy 2.105 -4.239 -1.913
Dy -0.997 -0.086 5.906
Dy -1.170 -3.642 4.609
Dy 2.747 -0.056 5.322
Dy 4.409 -3.257 0.620
Dy 0.492 -6.843 -0.093
Dy 0.665 -3.287 1.204
Zn 2.230 -1.547 -0.930
Zn -0.730 -4.268 -1.473
Zn 4.940 -4.211 -2.353
Zn 1.979 -6.932 -2.896
Pd 2.672 -5.569 1.658
Pd 0.567 -1.330 3.571
```

- Formation energy: -0.3674 eV/atom
- DOS at the Fermi energy: 17.6 states/eV/cell
- VASP energy: -4.211 eV per atom



Entry 2:
A geometry-optimized Dy3Zn4Pd2 structure. Source: Alexandria via LeMat-Bulk, functional PBE-GGA. Values from VASP.

```
&SYSTEM
  ibrav = 0, nat = 9, ntyp = 3
/
ATOMIC_SPECIES
Dy 162.50 Dy.upf
Zn 65.41 Zn.upf
Pd 106.42 Pd.upf
CELL_PARAMETERS angstrom
4.304 0.000 1.148
1.854 5.152 1.690
0.148 -0.157 8.086
ATOMIC_POSITIONS angstrom
Dy 2.796 3.588 6.803
Dy 0.000 0.000 0.000
Dy 3.511 1.407 4.121
Zn 1.938 1.988 1.375
Zn 4.368 3.008 9.549
Zn 0.796 1.508 5.660
Zn 5.511 3.488 5.265
Pd 3.503 4.739 4.153
Pd 2.804 0.256 6.772
```

- Formation energy: -0.5916 eV/atom
- DOS at the Fermi energy: 5.6 states/eV/cell
- VASP energy: -3.846 eV per atom



Entry 3:
A geometry-optimized Dy3ZnPd3 structure. Source: Alexandria via LeMat-Bulk, functional PBE-GGA. Values from VASP.

```
&SYSTEM
  ibrav = 0, nat = 14, ntyp = 3
/
ATOMIC_SPECIES
Dy 162.50 Dy.upf
Zn 65.41 Zn.upf
Pd 106.42 Pd.upf
CELL_PARAMETERS angstrom
4.092 0.000 0.000
-2.046 5.199 0.000
0.000 0.000 14.170
ATOMIC_POSITIONS angstrom
Dy 0.000 2.011 12.699
Dy 2.046 3.188 1.470
Dy 0.000 2.011 8.555
Dy 2.046 3.188 5.615
Dy 0.000 4.846 10.627
Dy 2.046 0.353 3.542
Zn 2.046 0.000 0.000
Zn 2.046 0.000 7.085
Pd 2.046 4.235 12.856
Pd 0.000 0.964 1.313
Pd 2.046 4.235 8.398
Pd 0.000 0.964 5.771
Pd 2.046 2.510 10.627
Pd 0.000 2.689 3.542
```

- Formation energy: -0.8044 eV/atom
- DOS at the Fermi energy: 10.0 states/eV/cell
- VASP energy: -5.184 eV per atom



Entry 4:
A geometry-optimized Dy4ZnPd3 structure. Source: Alexandria via LeMat-Bulk, functional PBE-GGA. Values from VASP.

```
&SYSTEM
  ibrav = 0, nat = 8, ntyp = 3
/
ATOMIC_SPECIES
Dy 162.50 Dy.upf
Zn 65.41 Zn.upf
Pd 106.42 Pd.upf
CELL_PARAMETERS angstrom
-0.599 2.534 2.677
-2.796 -2.901 2.122
8.243 -3.898 5.534
ATOMIC_POSITIONS angstrom
Dy 1.323 -1.611 4.427
Dy 5.645 -4.781 5.789
Dy 1.163 -0.550 0.781
Dy 4.951 -1.215 4.863
Zn -1.059 -0.485 2.827
Pd 3.434 -3.735 4.305
Pd 3.415 -1.615 2.293
Pd 7.312 -2.332 6.448
```

- Formation energy: -0.7743 eV/atom
- DOS at the Fermi energy: 6.0 states/eV/cell
- VASP energy: -5.182 eV per atom



Entry 5:
A geometry-optimized DyZn2Pd9 structure. Source: Alexandria via LeMat-Bulk, functional PBE-GGA. Values from VASP.

```
&SYSTEM
  ibrav = 0, nat = 12, ntyp = 3
/
ATOMIC_SPECIES
Dy 162.50 Dy.upf
Zn 65.41 Zn.upf
Pd 106.42 Pd.upf
CELL_PARAMETERS angstrom
-2.637 -1.259 -2.759
2.989 -1.693 -2.085
-1.493 -10.031 6.007
ATOMIC_POSITIONS angstrom
Dy 0.000 0.000 0.000
Zn -0.511 -3.436 2.058
Zn -0.982 -6.595 3.949
Pd 0.176 -1.476 -2.422
Pd -0.330 -4.879 -0.384
Pd -0.810 -8.105 1.547
Pd -1.588 -2.440 -0.295
Pd -2.065 -5.645 1.624
Pd -2.542 -8.850 3.543
Pd 1.225 -2.658 0.042
Pd 0.748 -5.862 1.961
Pd 0.271 -9.067 3.880
```

- Formation energy: -0.4791 eV/atom
- DOS at the Fermi energy: 14.5 states/eV/cell
- VASP energy: -4.970 eV per atom



Entry 6:
A geometry-optimized DyZnPd5 structure. Source: Alexandria via LeMat-Bulk, functional PBE-GGA. Values from VASP.

```
&SYSTEM
  ibrav = 0, nat = 14, ntyp = 3
/
ATOMIC_SPECIES
Dy 162.50 Dy.upf
Zn 65.41 Zn.upf
Pd 106.42 Pd.upf
CELL_PARAMETERS angstrom
7.093 1.623 1.612
3.789 6.212 1.612
5.831 4.198 8.476
ATOMIC_POSITIONS angstrom
Dy 7.744 3.792 3.732
Dy 8.969 8.240 7.970
Zn 0.000 0.000 0.000
Zn 2.915 2.099 4.238
Pd 8.823 6.405 3.582
Pd 6.423 4.680 6.066
Pd 11.788 8.434 7.820
Pd 6.044 6.154 3.732
Pd 13.152 9.524 9.873
Pd 3.560 2.508 1.828
Pd 10.669 5.878 7.970
Pd 4.925 3.598 3.881
Pd 10.289 7.352 5.635
Pd 7.890 5.628 8.119
```

- Formation energy: -0.3894 eV/atom
- DOS at the Fermi energy: 6.4 states/eV/cell
- VASP energy: -4.938 eV per atom



> What is the formula in the fourth record?

Dy4ZnPd3



> Which value of formation energy does entry 2 give?

-0.5916 eV/atom